# KTbSbSe3

A geometry-optimized KTbSbSe3 structure (PBE, OQMD via LeMat-Bulk).

Unit cell a=8.2624 b=8.2624 c=11.1051 alpha=90.00 beta=90.00 gamma=150.34
Last column: nearest neighbours and their distance in Å.
Positions (direct):
K 0.2469 0.7531 0.7500  2 Se 3.33
K 0.7531 0.2469 0.2500  2 Se 3.33
Tb 0.0000 0.0000 0.0000  6 Se 2.94-3.14
Tb 0.0000 0.0000 0.5000  6 Se 2.94-3.14
Sb 0.4575 0.5425 0.2500  4 Se 2.76-3.01
Sb 0.5425 0.4575 0.7500  4 Se 2.76-3.01
Se 0.0919 0.9081 0.2500  2 Sb 3.01, 2 Tb 3.14, 2 K 3.33
Se 0.3739 0.6261 0.0324  1 Sb 2.76, 2 Tb 2.94
Se 0.3739 0.6261 0.4676  1 Sb 2.76, 2 Tb 2.94
Se 0.6261 0.3739 0.5324  1 Sb 2.76, 2 Tb 2.94
Se 0.6261 0.3739 0.9676  1 Sb 2.76, 2 Tb 2.94
Se 0.9081 0.0919 0.7500  2 Sb 3.01, 2 Tb 3.14, 2 K 3.33

Summary:
- Symmetry: Cmcm
- Spin magnetization: 0.001 μB/atom
- E_tot: -0.1586 Ha/atom

# KThSb2Se6

A geometry-optimized KThSb2Se6 structure (PBE, OQMD via LeMat-Bulk).

Unit cell a=4.2926 b=15.2927 c=17.2967 alpha=90.00 beta=92.69 gamma=90.00
Last column: nearest neighbours and their distance in Å.
Positions (direct):
K 0.2348 0.2145 0.3275  8 Se 3.32-3.66
K 0.2348 0.2855 0.8275  8 Se 3.32-3.66
K 0.7652 0.7145 0.1725  8 Se 3.32-3.66
K 0.7652 0.7855 0.6725  8 Se 3.32-3.66
Th 0.2010 0.1291 0.5907  9 Se 2.97-3.19
Th 0.2010 0.3709 0.0907  9 Se 2.97-3.19
Th 0.7990 0.6291 0.9093  9 Se 2.97-3.19
Th 0.7990 0.8709 0.4093  9 Se 2.97-3.19
Sb 0.2313 0.6253 0.4739  3 Se 2.68-2.85
Sb 0.2313 0.8747 0.9739  3 Se 2.68-2.85
Sb 0.2553 0.5252 0.7040  3 Se 2.68-2.77
Sb 0.2553 0.9748 0.2040  3 Se 2.68-2.77
Sb 0.7447 0.0252 0.7960  3 Se 2.68-2.77
Sb 0.7447 0.4748 0.2960  3 Se 2.68-2.77
Sb 0.7687 0.1253 0.0261  3 Se 2.68-2.85
Sb 0.7687 0.3747 0.5261  3 Se 2.68-2.85
Se 0.1638 0.5301 0.1970  1 Sb 2.68
Se 0.1638 0.9699 0.6970  1 Sb 2.68
Se 0.1824 0.0787 0.9086  2 Sb 2.77-2.85
Se 0.1824 0.4213 0.4086  2 Sb 2.77-2.85
Se 0.2336 0.1702 0.1267  1 Sb 2.68
Se 0.2336 0.3298 0.6267  1 Sb 2.68
Se 0.2861 0.6730 0.7896  1 Sb 2.70
Se 0.2861 0.8270 0.2896  1 Sb 2.70
Se 0.2905 0.7057 0.0152  1 Sb 2.69, 1 Th 2.97
Se 0.2905 0.7943 0.5152  1 Sb 2.69, 1 Th 2.97
Se 0.3182 0.0135 0.4410  1 Se 2.54
Se 0.3182 0.4865 0.9410  1 Se 2.54
Se 0.6818 0.5135 0.0590  1 Se 2.54
Se 0.6818 0.9865 0.5590  1 Se 2.54
Se 0.7095 0.2057 0.4848  1 Sb 2.69, 1 Th 2.97
Se 0.7095 0.2943 0.9848  1 Sb 2.69, 1 Th 2.97
Se 0.7139 0.1730 0.7104  1 Sb 2.70
Se 0.7139 0.3270 0.2104  1 Sb 2.70
Se 0.7664 0.6702 0.3733  1 Sb 2.68
Se 0.7664 0.8298 0.8733  1 Sb 2.68
Se 0.8176 0.5787 0.5914  2 Sb 2.77-2.85
Se 0.8176 0.9213 0.0914  2 Sb 2.77-2.85
Se 0.8362 0.0301 0.3030  1 Sb 2.68
Se 0.8362 0.4699 0.8030  1 Sb 2.68

Summary:
- Symmetry: P2_1/c
- Spin magnetization: 0.000 μB/atom
- E_tot: -0.1722 Ha/atom

# KSmSb

A geometry-optimized KSmSb structure (PBE, OQMD via LeMat-Bulk).

Unit cell a=5.3551 b=5.3551 c=5.3551 alpha=60.00 beta=60.00 gamma=60.00
Last column: nearest neighbours and their distance in Å.
Positions (direct):
K 0.0000 0.0000 0.0000  4 Sm 3.28
Sm 0.2500 0.2500 0.2500  4 Sb 3.28, 4 K 3.28
Sb 0.5000 0.5000 0.5000  4 Sm 3.28

Summary:
- Symmetry: F-43m
- Spin magnetization: 0.077 μB/atom
- E_tot: -0.1244 Ha/atom

# KTaSb4

A geometry-optimized KTaSb4 structure (PBE, OQMD via LeMat-Bulk).

Unit cell a=5.3914 b=5.3914 c=10.2044 alpha=106.71 beta=106.71 gamma=43.39
Last column: nearest neighbours and their distance in Å.
Positions (direct):
K 0.0000 0.0000 0.0000  6 Sb 3.53-3.83
Ta 0.6855 0.6855 0.5809  8 Sb 2.87-2.98
Sb 0.0182 0.0182 0.3800  3 Sb 2.98-3.03, 2 Ta 2.98
Sb 0.2232 0.2232 0.7915  2 Ta 2.87, 1 Sb 2.94
Sb 0.3995 0.3995 0.6081  3 Ta 2.88-2.96, 1 Sb 2.94
Sb 0.7006 0.7006 0.3017  1 Ta 2.90, 3 Sb 2.98-3.03

Summary:
- Symmetry: Cm
- Spin magnetization: 0.001 μB/atom
- E_tot: -0.1840 Ha/atom

# KTbSb

A geometry-optimized KTbSb structure (PBE, OQMD via LeMat-Bulk).

Unit cell a=5.2849 b=5.2849 c=5.2849 alpha=60.00 beta=60.00 gamma=60.00
Last column: nearest neighbours and their distance in Å.
Positions (direct):
K 0.0000 0.0000 0.0000  4 Tb 3.24, 4 Sb 3.24
Tb 0.2500 0.2500 0.2500  4 K 3.24
Sb 0.7500 0.7500 0.7500  4 K 3.24

Summary:
- Symmetry: F-43m
- Spin magnetization: 0.081 μB/atom
- E_tot: -0.1065 Ha/atom

# KTbSbTe3

A geometry-optimized KTbSbTe3 structure (PBE, OQMD via LeMat-Bulk).

Unit cell a=8.8097 b=8.8097 c=11.3822 alpha=90.00 beta=90.00 gamma=150.58
Last column: nearest neighbours and their distance in Å.
Positions (direct):
K 0.2323 0.7677 0.7500  8 Te 3.62-4.00, 2 Sb 4.06
K 0.7677 0.2323 0.2500  8 Te 3.62-4.00, 2 Sb 4.06
Tb 0.0000 0.0000 0.0000  6 Te 3.16-3.32
Tb 0.0000 0.0000 0.5000  6 Te 3.16-3.32
Sb 0.4661 0.5339 0.2500  4 Te 2.95-3.20
Sb 0.5339 0.4661 0.7500  4 Te 2.95-3.20
Te 0.1005 0.8995 0.2500  2 Sb 3.20, 2 Tb 3.32
Te 0.3708 0.6292 0.0334  1 Sb 2.95, 2 Tb 3.16
Te 0.3708 0.6292 0.4666  1 Sb 2.95, 2 Tb 3.16
Te 0.6292 0.3708 0.5334  1 Sb 2.95, 2 Tb 3.16
Te 0.6292 0.3708 0.9666  1 Sb 2.95, 2 Tb 3.16
Te 0.8995 0.1005 0.7500  2 Sb 3.20, 2 Tb 3.32

Summary:
- Symmetry: Cmcm
- Spin magnetization: 0.000 μB/atom
- E_tot: -0.1443 Ha/atom

# KTcSb

A geometry-optimized KTcSb structure (PBE, OQMD via LeMat-Bulk).

Unit cell a=4.7320 b=4.7320 c=4.7320 alpha=60.00 beta=60.00 gamma=60.00
Last column: nearest neighbours and their distance in Å.
Positions (direct):
K 0.0000 0.0000 0.0000  4 Tc 2.90
Tc 0.7500 0.7500 0.7500  4 Sb 2.90, 4 K 2.90
Sb 0.5000 0.5000 0.5000  4 Tc 2.90

Summary:
- Symmetry: F-43m
- Spin magnetization: 0.000 μB/atom
- E_tot: -0.1586 Ha/atom
- Energy above the lowest structure with this stoichiometry: 0 meV per atom

# KTcSb

A geometry-optimized KTcSb structure (PBE, OQMD via LeMat-Bulk).

Unit cell a=5.1831 b=5.1831 c=5.1831 alpha=60.00 beta=60.00 gamma=60.00
Last column: nearest neighbours and their distance in Å.
Positions (direct):
K 0.0000 0.0000 0.0000  4 Sb 3.17, 4 Tc 3.17
Tc 0.2500 0.2500 0.2500  4 K 3.17
Sb 0.7500 0.7500 0.7500  4 K 3.17

Summary:
- Symmetry: F-43m
- Spin magnetization: 1.419 μB/atom
- E_tot: -0.1292 Ha/atom
- Energy above the lowest structure with this stoichiometry: 799 meV per atom

# KSbW

A geometry-optimized KSbW structure (PBE, OQMD via LeMat-Bulk).

Unit cell a=5.0341 b=5.0341 c=5.0341 alpha=60.00 beta=60.00 gamma=60.00
Last column: nearest neighbours and their distance in Å.
Positions (direct):
K 0.0000 0.0000 0.0000  4 W 3.08
Sb 0.5000 0.5000 0.5000  4 W 3.08
W 0.2500 0.2500 0.2500  4 Sb 3.08, 4 K 3.08

Summary:
- Symmetry: F-43m
- Spin magnetization: 1.308 μB/atom
- E_tot: -0.1713 Ha/atom
- Energy above the lowest structure with this stoichiometry: 0 meV per atom

# KSbW

A geometry-optimized KSbW structure (PBE, OQMD via LeMat-Bulk).

Unit cell a=5.1289 b=5.1289 c=5.1289 alpha=60.00 beta=60.00 gamma=60.00
Last column: nearest neighbours and their distance in Å.
Positions (direct):
K 0.0000 0.0000 0.0000  4 Sb 3.14, 4 W 3.14
Sb 0.7500 0.7500 0.7500  4 K 3.14
W 0.2500 0.2500 0.2500  4 K 3.14

Summary:
- Symmetry: F-43m
- Spin magnetization: 1.330 μB/atom
- E_tot: -0.1457 Ha/atom
- Energy above the lowest structure with this stoichiometry: 696 meV per atom

# KZn2Sb2

A geometry-optimized KZn2Sb2 structure (PBE, OQMD via LeMat-Bulk).

Unit cell a=7.5341 b=7.5341 c=7.5341 alpha=145.65 beta=145.65 gamma=49.37
Last column: nearest neighbours and their distance in Å.
Positions (direct):
K 0.0000 0.0000 0.0000  8 Sb 3.63
Zn 0.2500 0.7500 0.5000  4 Sb 2.75
Zn 0.7500 0.2500 0.5000  4 Sb 2.75
Sb 0.3685 0.3685 0.0000  4 Zn 2.75
Sb 0.6315 0.6315 0.0000  4 Zn 2.75

Summary:
- Symmetry: I4/mmm
- E_tot: -0.0951 Ha/atom

# K5ZnSb2

A geometry-optimized K5ZnSb2 structure (PBE, OQMD via LeMat-Bulk).

Unit cell a=10.3908 b=10.3908 c=10.3908 alpha=34.02 beta=34.02 gamma=34.02
Last column: nearest neighbours and their distance in Å.
Positions (direct):
K 0.0000 0.0000 0.0000  8 K 3.81-3.83, 6 Sb 4.19
K 0.1297 0.1297 0.1297  3 Zn 3.67, 1 K 3.81, 3 Sb 3.82
K 0.2808 0.2808 0.2808  4 Sb 3.59-3.83, 3 K 3.83
K 0.7192 0.7192 0.7192  4 Sb 3.59-3.83, 3 K 3.83
K 0.8703 0.8703 0.8703  3 Zn 3.67, 1 K 3.81, 3 Sb 3.82
Zn 0.5000 0.5000 0.5000  2 Sb 2.60
Sb 0.4113 0.4113 0.4113  1 Zn 2.60
Sb 0.5887 0.5887 0.5887  1 Zn 2.60

Summary:
- Symmetry: R-3m
- E_tot: -0.0808 Ha/atom

- Among the records above, which one has the lowest E_tot?
  KTaSb4

What did the eleventh record say?
# KZn2Sb2

A geometry-optimized KZn2Sb2 structure (PBE, OQMD via LeMat-Bulk).

Unit cell a=7.5341 b=7.5341 c=7.5341 alpha=145.65 beta=145.65 gamma=49.37
Last column: nearest neighbours and their distance in Å.
Positions (direct):
K 0.0000 0.0000 0.0000  8 Sb 3.63
Zn 0.2500 0.7500 0.5000  4 Sb 2.75
Zn 0.7500 0.2500 0.5000  4 Sb 2.75
Sb 0.3685 0.3685 0.0000  4 Zn 2.75
Sb 0.6315 0.6315 0.0000  4 Zn 2.75

Summary:
- Symmetry: I4/mmm
- E_tot: -0.0951 Ha/atom